#A
Computed, not measured: an optimized crystal structure of SbF3 at the PBE level of DFT.

Cell lengths 3.2647, 3.2647, 24.7148 Å; angles 90.00, 90.00, 120.00 degrees
Space group R-3m (No. 166, hexagonal axes)
Inequivalent atoms, fractional coordinates:
Sb  0.0000  0.0000  0.0000 (multiplicity 3)
F  0.0000  0.0000  0.0790 (multiplicity 6)
F  0.0000  0.0000  0.5000 (multiplicity 3)

Calculated values
Fermi-level density of states ... 4.5 states/eV/f.u.
V ... 76.04 Å³/f.u.

#B
Computed, not measured: an optimized crystal structure of SbF3 at the PBE level of DFT.

Cell lengths 8.821, 7.320, 4.540 Å; angles 90.00, 93.54, 90.00 degrees
Space group C2 (No. 5)
Inequivalent atoms, fractional coordinates:
Sb  0.231  0.000  0.423 (multiplicity 4)
F  0.094  0.001  0.745 (multiplicity 4)
F  0.140  0.321  0.333 (multiplicity 4)
F  0.141  0.683  0.335 (multiplicity 4)

Calculated values
Fermi-level density of states ... 0.0 states/eV/f.u.
V ... 73.15 Å³/f.u.

#C
Computed, not measured: an optimized crystal structure of SbF3 at the PBE level of DFT.

Cell lengths 4.098, 6.690, 5.076 Å; angles 90.00, 90.00, 90.00 degrees
Space group Imm2 (No. 44)
Inequivalent atoms, fractional coordinates:
Sb  0.000  0.000  0.000 (multiplicity 2)
F  0.000  0.219  0.258 (multiplicity 4)
F  0.000  0.500  0.631 (multiplicity 2)

Calculated values
Fermi-level density of states ... 0.0 states/eV/f.u.
V ... 69.57 Å³/f.u.

#D
Computed, not measured: an optimized crystal structure of SbF3 at the PBE level of DFT.

Cell lengths 3.643, 8.654, 7.673 Å; angles 90.00, 90.00, 90.00 degrees
Space group Cmcm (No. 63)
Inequivalent atoms, fractional coordinates:
Sb  0.000  0.208  0.250 (multiplicity 4)
F  0.000  0.019  0.750 (multiplicity 4)
F  0.000  0.333  0.582 (multiplicity 8)

Calculated values
Fermi-level density of states ... 0.0 states/eV/f.u.
V ... 60.47 Å³/f.u.

Of them, #C has the highest stability.

#A
Computed, not measured: an optimized crystal structure of SbSe2F at the PBE level of DFT.

Cell lengths 6.927, 6.927, 7.858 Å; angles 90.00, 90.00, 90.00 degrees
Space group I-42d (No. 122)
Inequivalent atoms, fractional coordinates:
Sb  0.000  0.000  0.000 (multiplicity 4)
Se  0.243  0.750  0.125 (multiplicity 8)
F  0.000  0.000  0.500 (multiplicity 4)

Calculated values
Fermi-level density of states ... 0.0 states/eV/f.u.
V ... 94.27 Å³/f.u.

#B
Computed, not measured: an optimized crystal structure of SbSe2F at the PBE level of DFT.

Cell lengths 7.763, 5.199, 12.894 Å; angles 90.00, 126.95, 90.00 degrees
Space group P2_1/c (No. 14)
Inequivalent atoms, fractional coordinates:
Sb  0.164  0.001  0.413 (multiplicity 4)
Se  0.130  0.151  0.080 (multiplicity 4)
Se  0.469  0.151  0.920 (multiplicity 4)
F  0.088  0.750  0.250 (multiplicity 4)

Calculated values
Fermi-level density of states ... 0.7 states/eV/f.u.
V ... 103.97 Å³/f.u.

#C
Computed, not measured: an optimized crystal structure of SbSe2F at the PBE level of DFT.

Cell lengths 6.750, 6.750, 6.750 Å; angles 90.00, 90.00, 90.00 degrees
Space group Fm-3m (No. 225)
Inequivalent atoms, fractional coordinates:
Sb  0.000  0.000  0.000 (multiplicity 4)
Se  0.250  0.250  0.250 (multiplicity 8)
F  0.000  0.000  0.500 (multiplicity 4)

Calculated values
Fermi-level density of states ... 4.6 states/eV/f.u.
V ... 76.87 Å³/f.u.

Of them, #B has the highest stability.

#A
Computed, not measured: an optimized crystal structure of SbSe2F at the PBE level of DFT.

Cell lengths 3.1159, 3.1159, 28.1770 Å; angles 90.00, 90.00, 120.00 degrees
Space group R-3m (No. 166, hexagonal axes)
Inequivalent atoms, fractional coordinates:
Sb  0.0000  0.0000  0.0000 (multiplicity 3)
Se  0.0000  0.0000  0.0970 (multiplicity 6)
F  0.0000  0.0000  0.5000 (multiplicity 3)

Calculated values
Fermi-level density of states ... 2.7 states/eV/f.u.
V ... 78.97 Å³/f.u.

#B
Computed, not measured: an optimized crystal structure of SbSe2F at the PBE level of DFT.

Cell lengths 3.9044, 3.9044, 18.9910 Å; angles 90.00, 90.00, 120.00 degrees
Space group R-3m (No. 166, hexagonal axes)
Inequivalent atoms, fractional coordinates:
Sb  0.0000  0.0000  0.0000 (multiplicity 3)
Se  0.0000  0.0000  0.2486 (multiplicity 6)
F  0.0000  0.0000  0.5000 (multiplicity 3)

Calculated values
Fermi-level density of states ... 1.6 states/eV/f.u.
V ... 83.57 Å³/f.u.

Of them, #B has the highest stability.

#A
Computed, not measured: an optimized crystal structure of Sb2SeF at the PBE level of DFT.

Cell lengths 6.963, 6.963, 6.963 Å; angles 90.00, 90.00, 90.00 degrees
Space group Fm-3m (No. 225)
Inequivalent atoms, fractional coordinates:
Sb  0.250  0.250  0.250 (multiplicity 8)
Se  0.000  0.000  0.000 (multiplicity 4)
F  0.000  0.000  0.500 (multiplicity 4)

Calculated values
Fermi-level density of states ... 1.5 states/eV/f.u.
V ... 84.41 Å³/f.u.

#B
Computed, not measured: an optimized crystal structure of Sb2SeF at the PBE level of DFT.

Cell lengths 7.473, 7.473, 6.428 Å; angles 90.00, 90.00, 90.00 degrees
Space group I-42d (No. 122)
Inequivalent atoms, fractional coordinates:
Sb  0.228  0.250  0.125 (multiplicity 8)
Se  0.000  0.000  0.500 (multiplicity 4)
F  0.000  0.000  0.000 (multiplicity 4)

Calculated values
Fermi-level density of states ... 1.9 states/eV/f.u.
V ... 89.75 Å³/f.u.

Of them, #B has the highest stability.

#A
Computed, not measured: an optimized crystal structure of SbSe3F at the PBE level of DFT.

Cell lengths 4.731, 4.731, 4.731 Å; angles 90.00, 90.00, 90.00 degrees
Space group Pm-3m (No. 221)
Inequivalent atoms, fractional coordinates:
Sb  0.000  0.000  0.000 (multiplicity 1)
Se  0.000  0.500  0.500 (multiplicity 3)
F  0.500  0.500  0.500 (multiplicity 1)

Calculated values
Fermi-level density of states ... 5.6 states/eV/f.u.
V ... 105.86 Å³/f.u.

#B
Computed, not measured: an optimized crystal structure of SbSe3F at the PBE level of DFT.

Cell lengths 5.253, 5.253, 5.253 Å; angles 90.00, 90.00, 90.00 degrees
Space group Pm-3m (No. 221)
Inequivalent atoms, fractional coordinates:
Sb  0.000  0.000  0.000 (multiplicity 1)
Se  0.000  0.000  0.500 (multiplicity 3)
F  0.500  0.500  0.500 (multiplicity 1)

Calculated values
Fermi-level density of states ... 7.3 states/eV/f.u.
V ... 144.94 Å³/f.u.

Of them, #A has the highest stability.

#A
Computed, not measured: an optimized crystal structure of SbSeF3 at the PBE level of DFT.

Cell lengths 4.516, 4.516, 4.516 Å; angles 90.00, 90.00, 90.00 degrees
Space group Pm-3m (No. 221)
Inequivalent atoms, fractional coordinates:
Sb  0.000  0.000  0.000 (multiplicity 1)
Se  0.500  0.500  0.500 (multiplicity 1)
F  0.000  0.000  0.500 (multiplicity 3)

Calculated values
Fermi-level density of states ... 3.4 states/eV/f.u.
V ... 92.08 Å³/f.u.

#B
Computed, not measured: an optimized crystal structure of SbSeF3 at the PBE level of DFT.

Cell lengths 4.462, 4.462, 4.462 Å; angles 90.00, 90.00, 90.00 degrees
Space group Pm-3m (No. 221)
Inequivalent atoms, fractional coordinates:
Sb  0.000  0.000  0.000 (multiplicity 1)
Se  0.500  0.500  0.500 (multiplicity 1)
F  0.000  0.500  0.500 (multiplicity 3)

Calculated values
Fermi-level density of states ... 2.4 states/eV/f.u.
V ... 88.84 Å³/f.u.

#C
Computed, not measured: an optimized crystal structure of SbSeF3 at the PBE level of DFT.

Cell lengths 4.210, 7.712, 7.727 Å; angles 72.37, 89.98, 89.91 degrees
Space group P1 (No. 1)
Inequivalent atoms, fractional coordinates:
Sb  0.000  0.000  0.000 (multiplicity 1)
Sb  0.500  0.040  0.473 (multiplicity 1)
Se  0.257  0.491  0.817 (multiplicity 1)
Se  0.756  0.549  0.656 (multiplicity 1)
F  0.316  0.935  0.839 (multiplicity 1)
F  0.386  0.999  0.151 (multiplicity 1)
F  0.424  0.293  0.353 (multiplicity 1)
F  0.815  0.107  0.633 (multiplicity 1)
F  0.886  0.039  0.322 (multiplicity 1)
F  0.924  0.746  0.117 (multiplicity 1)

Calculated values
V ... 119.54 Å³/f.u.

Of them, #C has the highest stability.

#A
Computed, not measured: an optimized crystal structure of Sb2TeSeF at the PBE level of DFT.

Cell lengths 4.667, 4.667, 5.844 Å; angles 90.00, 90.00, 90.00 degrees
Space group P4/mmm (No. 123)
Inequivalent atoms, fractional coordinates:
Sb  0.000  0.500  0.000 (multiplicity 2)
Te  0.000  0.000  0.500 (multiplicity 1)
Se  0.500  0.500  0.500 (multiplicity 1)
F  0.000  0.000  0.000 (multiplicity 1)

Calculated values
Fermi-level density of states ... 4.3 states/eV/f.u.
V ... 127.28 Å³/f.u.

#B
Computed, not measured: an optimized crystal structure of Sb2TeSeF at the PBE level of DFT.

Cell lengths 5.432, 5.432, 5.414 Å; angles 90.00, 90.00, 90.00 degrees
Space group P4/mmm (No. 123)
Inequivalent atoms, fractional coordinates:
Sb  0.000  0.500  0.000 (multiplicity 2)
Te  0.000  0.000  0.500 (multiplicity 1)
Se  0.000  0.000  0.000 (multiplicity 1)
F  0.500  0.500  0.500 (multiplicity 1)

Calculated values
Fermi-level density of states ... 3.9 states/eV/f.u.
V ... 159.75 Å³/f.u.

Of them, #A has the highest stability.

#A
Computed, not measured: an optimized crystal structure of SiSbF3 at the PBE level of DFT.

Cell lengths 4.544, 4.544, 4.544 Å; angles 90.00, 90.00, 90.00 degrees
Space group Pm-3m (No. 221)
Inequivalent atoms, fractional coordinates:
Si  0.000  0.000  0.000 (multiplicity 1)
Sb  0.500  0.500  0.500 (multiplicity 1)
F  0.000  0.500  0.500 (multiplicity 3)

Calculated values
Fermi-level density of states ... 3.3 states/eV/f.u.
V ... 93.85 Å³/f.u.

#B
Computed, not measured: an optimized crystal structure of SiSbF3 at the PBE level of DFT.

Cell lengths 4.364, 4.364, 4.364 Å; angles 90.00, 90.00, 90.00 degrees
Space group Pm-3m (No. 221)
Inequivalent atoms, fractional coordinates:
Si  0.000  0.000  0.000 (multiplicity 1)
Sb  0.500  0.500  0.500 (multiplicity 1)
F  0.000  0.000  0.500 (multiplicity 3)

Calculated values
Fermi-level density of states ... 4.4 states/eV/f.u.
V ... 83.10 Å³/f.u.

Of them, #B has the highest stability.